! Cs5GeAs3 PBEsol relaxed; values from VASP
&SYSTEM
  ibrav = 0, nat = 36, ntyp = 3
/
ATOMIC_SPECIES
Cs 132.91 Cs.upf
As 74.92 As.upf
Ge 72.64 Ge.upf
ATOMIC_POSITIONS angstrom
Cs -18.3130 0.4456 9.7305
Cs -4.6893 -0.7534 2.5654
Cs -11.1794 0.2895 3.2741
Cs -11.8215 3.7554 1.4669
Cs -5.5299 -3.5943 5.3047
Cs -9.4199 -7.3470 6.9390
Cs -14.5859 3.3667 4.2796
Cs -15.0572 -2.8697 9.0285
Cs -8.9365 -0.5171 6.3102
Cs -11.8803 1.5671 7.5770
Cs -13.4804 6.6633 5.5231
Cs -8.2943 -3.9830 8.1175
Cs -1.8028 -0.6733 -0.1461
Cs -10.6960 7.1193 2.6454
Cs -8.5568 1.6412 -0.0744
Cs -6.6354 -6.8910 4.0612
Cs -11.5590 -1.8688 9.6588
Cs -15.4266 0.5258 7.0189
Cs -8.2356 -1.7947 2.0074
Cs -5.0586 2.6421 0.5558
As -12.0748 -5.0972 7.8254
As -5.8150 -4.4148 1.5930
As -5.4504 -1.1499 -1.0017
As -14.6655 0.9223 10.5861
As -14.3008 4.1872 7.9914
As -14.1298 6.3983 1.7622
As -8.0410 4.8696 1.7590
As -5.9861 -6.6259 7.8222
As -7.3347 1.3567 3.5397
As -9.5926 -3.8640 4.6880
As -10.5232 3.6364 4.8964
As -12.7811 -1.5844 6.0447
Ge -11.4406 -3.5323 6.1590
Ge -4.7375 -3.2752 -0.1870
Ge -15.3783 3.0476 9.7714
Ge -8.6752 3.3046 3.4254
CELL_PARAMETERS angstrom
-3.5944 -2.7027 -3.9061
-5.2676 -8.3230 10.6062
-11.2539 10.7981 2.8842
! **E**: -115.1 eV/cell
! **ΔH_f (0 K)**: -0.4216 eV/atom
! **Symmetry**: Pnma